DFT (PBE-GGA) results for an optimized crystal structure of Ta2ZnAu.

abc: 3.417 3.417 5.957
angles: 90.00 90.00 90.00
Fractional positions:
Ta 0.000 0.000 0.000
Ta 0.500 0.500 0.234
Zn 0.000 0.000 0.486
Au 0.500 0.500 0.717

Total energy: -28.19 eV for the cell shown
Space group: P4mm
E_form: 0.0157 eV per atom
DOS at the Fermi energy: 2.4 states/eV/cell

***

DFT (PBE-GGA) results for an optimized crystal structure of LiP2BrO.

abc: 5.154 5.154 3.672
angles: 90.00 90.00 90.00
Fractional positions:
Li 0.000 0.000 0.000
P 0.000 0.500 0.500
P 0.500 0.000 0.500
Br 0.500 0.500 0.500
O 0.500 0.500 0.000

Total energy: -14.75 eV for the cell shown
Distance to the lowest polymorph of the same formula: 296 meV per atom
Space group: P4/mmm
DOS at the Fermi energy: 3.2 states/eV/cell
Formation energy (no corrections): 923 meV per atom

***

DFT (PBE-GGA) results for an optimized crystal structure of SrCdF2.

abc: 4.742 4.742 4.742
angles: 60.00 60.00 60.00
Fractional positions:
Sr 0.000 0.000 0.000
Cd 0.500 0.500 0.500
F 0.250 0.250 0.250
F 0.750 0.750 0.750

Total energy: -15.39 eV for the cell shown
Distance to the lowest polymorph of the same formula: 430 meV per atom
Space group: Fm-3m
DOS at the Fermi energy: 0.0 states/eV/cell
Formation energy (no corrections): -2263 meV per atom

***

DFT (PBE-GGA) results for an optimized crystal structure of CaGa2Sn2.

abc: 6.167 6.167 6.167
angles: 131.42 131.42 71.14
Fractional positions:
Ca 0.000 0.000 0.000
Ga 0.377 0.377 0.000
Ga 0.623 0.623 0.000
Sn 0.250 0.750 0.500
Sn 0.750 0.250 0.500

Total energy: -17.23 eV for the cell shown
Distance to the lowest polymorph of the same formula: 39 meV per atom
Space group: I4/mmm
E_form: -0.2339 eV per atom
DOS at the Fermi energy: 2.4 states/eV/cell

***

In order of appearance, magnetic moment = 0.00; 0.00; 0.00; 0.00 μB/cell.